Here is a relaxed Pr2NdHoS4 crystal from Alexandria via LeMat-Bulk. Energies are from PBE.

uncorrected formation energy = -193.6 kJ per mole of atoms
SG = No. 10
volume = 187 Å³ per cell
electronic total energy = -6.433 eV per atom

a = 3.991 Å, b = 7.007 Å, c = 7.066 Å
α = 108.82°, β = 90.00°, γ = 90.00°
Fractional positions:
Pr 0.500 0.000 0.500
Pr 0.000 0.500 0.500
Nd 0.000 0.000 0.000
Ho 0.500 0.500 0.000
S 0.500 0.255 0.240
S 0.500 0.745 0.760
S 0.000 0.264 0.766
S 0.000 0.736 0.234


Here is a relaxed PrNdHo2S4 crystal from Alexandria via LeMat-Bulk. Energies are from PBE.

uncorrected formation energy = -193.5 kJ per mole of atoms
SG = No. 10
volume = 179 Å³ per cell
electronic total energy = -6.407 eV per atom

a = 3.922 Å, b = 7.058 Å, c = 6.837 Å
α = 71.35°, β = 90.00°, γ = 90.00°
Fractional positions:
Pr 0.500 0.500 0.000
Nd 0.000 0.500 0.500
Ho 0.000 0.000 0.000
Ho 0.500 0.000 0.500
S 0.000 0.770 0.742
S 0.000 0.230 0.258
S 0.500 0.769 0.244
S 0.500 0.231 0.756